[1]
NdThZnCu: optimized geometry, PBE-GGA.

Values from the calculation:
- Calculated total energy: -4.5239 eV/atom

```
data_NdThZnCu
_cell_length_a 7.262
_cell_length_b 7.262
_cell_length_c 7.262
_cell_angle_alpha 90.00
_cell_angle_beta 90.00
_cell_angle_gamma 90.00
_space_group_name_H-M_alt 'F -4 3 m'
_space_group_IT_number 216
_space_group_name_Hall 'F -4 2 3'
loop_
_atom_site_label
_atom_site_type_symbol
_atom_site_fract_x
_atom_site_fract_y
_atom_site_fract_z
Nd1 Nd 0.000 0.000 0.000
Th1 Th 0.000 0.000 0.500
Zn1 Zn 0.250 0.250 0.250
Cu1 Cu 0.250 0.250 0.750
```

[2]
NdTl2Cu: optimized geometry, PBE-GGA.

Values from the calculation:
- Distance to the lowest polymorph of the same formula: 0.000 eV/atom

```
data_NdTl2Cu
_cell_length_a 4.6220
_cell_length_b 4.6220
_cell_length_c 16.3480
_cell_angle_alpha 90.00
_cell_angle_beta 90.00
_cell_angle_gamma 120.00
_space_group_name_H-M_alt 'R -3 m'
_space_group_IT_number 166
_space_group_name_Hall '-R 3 2"'
loop_
_atom_site_label
_atom_site_type_symbol
_atom_site_fract_x
_atom_site_fract_y
_atom_site_fract_z
Nd1 Nd 0.0000 0.0000 0.0000
Tl1 Tl 0.0000 0.0000 0.2228
Cu1 Cu 0.0000 0.0000 0.5000
```